Entry from Alexandria: Li5Cr2P2C2O14 after structural relaxation (PBE with a Hubbard U).

total magnetic moment	7.00	μB/f.u.
total energy	-0.25549	Ha/atom

a = 5.076 Å, b = 6.414 Å, c = 8.625 Å
α = 96.18°, β = 94.76°, γ = 93.26°
Space group P1 (No. 1)
Asymmetric unit:
Li 0.000 0.000 0.000
Li 0.016 0.682 0.658
Li 0.503 0.529 0.471
Li 0.537 0.948 0.510
Li 0.872 0.457 0.989
Cr 0.072 0.207 0.418
Cr 0.443 0.698 0.093
P 0.541 0.204 0.176
P 0.986 0.701 0.339
C 0.002 0.210 0.697
C 0.549 0.724 0.794
O 0.063 0.528 0.450
O 0.068 0.640 0.174
O 0.150 0.902 0.422
O 0.234 0.242 0.645
O 0.301 0.717 0.811
O 0.375 0.011 0.091
O 0.429 0.264 0.338
O 0.532 0.387 0.075
O 0.639 0.724 0.657
O 0.687 0.730 0.341
O 0.720 0.730 0.918
O 0.809 0.176 0.581
O 0.839 0.153 0.208
O 0.960 0.213 0.839